# PBE-GGA TmZnAu, relaxed
# calculated formation energy = -554 meV per atom
# DOS at the Fermi energy = 0.924 states/eV/f.u.
# crystal system = tetragonal
# total DFT energy (no corrections) = -0.262 Ry/atom
data_TmZnAu
_symmetry_space_group_name_H-M 'P 1'
_symmetry_Int_Tables_number 1
_cell_length_a 3.6321
_cell_length_b 3.6321
_cell_length_c 5.2501
_cell_angle_alpha 110.24
_cell_angle_beta 110.24
_cell_angle_gamma 90.00
loop_
_symmetry_equiv_pos_as_xyz
'x,y,z'
loop_
_atom_site_label
_atom_site_type_symbol
_atom_site_fract_x
_atom_site_fract_y
_atom_site_fract_z
Zn1 Zn 0.2750 0.2750 0.5501
Tm1 Tm 0.9514 0.9514 0.9029
Au1 Au 0.6235 0.6235 0.2470